LaSbTe2 after structural relaxation. Source: the Alexandria database, functional PBE.

Calculated values
D(E_F)   0.8303 states/eV/atom
Formation energy without anion corrections   -668 meV per atom
SG   C2/m (12)
Total magnetization   0.00 μB/cell

a b c (Å): 6.0404 6.0404 5.5808
angles (deg): 86.57 86.57 39.80
With the nearest neighbours (Å) after each atom.
Atoms (fractional coordinates):
La (0.7500, 0.7500, 0.7500)  6 Te 3.31-3.57, 4 Sb 3.47
Sb (0.2500, 0.2500, 0.2500)  2 Te 2.96
Te (0.0399, 0.0399, 0.9612)  1 Sb 2.96, 2 Te 3.30, 2 La 3.31
Te (0.4601, 0.4601, 0.5388)  1 Sb 2.96, 2 Te 3.30, 2 La 3.31

LaSbTe2 after structural relaxation. Source: the Alexandria database, functional PBE.

Calculated values
D(E_F)   0.6741 states/eV/atom
Formation energy without anion corrections   -889 meV per atom
SG   Amm2 (38)
Total magnetization   0.00 μB/cell

a b c (Å): 6.5717 6.5717 4.6844
angles (deg): 90.00 90.00 39.18
With the nearest neighbours (Å) after each atom.
Atoms (fractional coordinates):
La (0.4582, 0.4582, 0.6250)  7 Te 3.30-3.64, 2 Sb 3.31
Sb (0.2694, 0.2694, 0.1250)  5 Te 3.09-3.22, 2 La 3.31
Te (0.0199, 0.0199, 0.1249)  1 Sb 3.09, 4 La 3.30-3.31
Te (0.7524, 0.7524, 0.6251)  4 Sb 3.22, 2 La 3.37

LaSb3Te after structural relaxation. Source: the Alexandria database, functional PBE.

Calculated values
D(E_F)   1.5645 states/eV/atom
Formation energy without anion corrections   674 meV per atom
SG   Pm-3m (221)
Relative energy among the computed polymorphs   46.23 kJ per mole of atoms
Total magnetization   1.45 μB/cell

a b c (Å): 6.0456 6.0456 6.0456
angles (deg): 90.00 90.00 90.00
With the nearest neighbours (Å) after each atom.
Atoms (fractional coordinates):
Sb (0.0000, 0.5000, 0.0000)  2 La 3.02
Sb (0.0000, 0.0000, 0.5000)  2 La 3.02
Sb (0.5000, 0.0000, 0.0000)  2 La 3.02
Te (0.5000, 0.5000, 0.5000)  12 Sb 4.27
La (0.0000, 0.0000, 0.0000)  6 Sb 3.02